(1)
Computed, not measured: K4HAu2 after structural relaxation at the GGA-PBE level of DFT. Values from VASP.

Cell and atoms, written as Quantum ESPRESSO input:
```
&SYSTEM
  ibrav = 0, nat = 7, ntyp = 3
/
ATOMIC_SPECIES
H 1.01 H.upf
K 39.10 K.upf
Au 196.97 Au.upf
CELL_PARAMETERS angstrom
4.329 0.000 1.311
1.847 6.437 1.703
-0.119 0.245 8.198
ATOMIC_POSITIONS crystal
H 0.000 0.000 0.000
K 0.665 0.745 0.926
K 0.080 0.195 0.644
Au 0.621 0.418 0.340
K 0.335 0.255 0.074
Au 0.379 0.582 0.660
K 0.920 0.805 0.356
```

=====

(2)
Computed, not measured: K4HAu2 after structural relaxation at the GGA-PBE level of DFT. Values from VASP.

Cell and atoms, written as Quantum ESPRESSO input:
```
&SYSTEM
  ibrav = 0, nat = 7, ntyp = 3
/
ATOMIC_SPECIES
H 1.01 H.upf
Au 196.97 Au.upf
K 39.10 K.upf
CELL_PARAMETERS angstrom
5.166 0.000 0.000
0.000 5.166 0.000
-2.583 -2.583 8.848
ATOMIC_POSITIONS crystal
H 0.000 0.000 0.000
Au 0.633 0.633 0.266
K 0.174 0.174 0.349
K 0.500 0.000 0.000
Au 0.367 0.367 0.734
K 0.826 0.826 0.651
K 0.000 0.500 0.000
```

=====

Relative calculated energies, zero for the most stable structure, unit kJ/mol of atoms: (1) 0.0; (2) 1.3.

=====

(1)
Computed, not measured: K3H4Au after structural relaxation at the GGA-PBE level of DFT. Values from VASP.

Cell and atoms, written as Quantum ESPRESSO input:
```
&SYSTEM
  ibrav = 0, nat = 16, ntyp = 3
/
ATOMIC_SPECIES
H 1.01 H.upf
K 39.10 K.upf
Au 196.97 Au.upf
CELL_PARAMETERS angstrom
-5.620 -1.104 0.858
1.296 -5.732 1.112
0.918 1.829 8.363
ATOMIC_POSITIONS crystal
H 0.501 0.855 0.686
K 0.502 0.310 0.751
H 0.737 0.534 0.500
H 0.268 0.532 0.500
H 0.001 0.145 0.814
H 0.237 0.466 0.000
K 0.002 0.690 0.749
Au 0.002 0.253 0.000
K 0.502 0.855 0.000
H 0.768 0.468 0.000
K 0.002 0.690 0.251
H 0.001 0.145 0.186
K 0.502 0.310 0.249
Au 0.502 0.747 0.500
K 0.002 0.145 0.500
H 0.501 0.855 0.314
```

=====

(2)
Computed, not measured: K3H4Au after structural relaxation at the GGA-PBE level of DFT. Values from VASP.

Cell and atoms, written as Quantum ESPRESSO input:
```
&SYSTEM
  ibrav = 0, nat = 16, ntyp = 3
/
ATOMIC_SPECIES
H 1.01 H.upf
K 39.10 K.upf
Au 196.97 Au.upf
CELL_PARAMETERS angstrom
6.075 0.000 0.000
0.000 5.994 0.000
0.000 0.000 8.376
ATOMIC_POSITIONS crystal
H 0.618 0.748 0.693
H 0.618 0.748 0.307
K 0.503 0.754 0.000
Au 0.029 0.250 0.000
H 0.334 0.984 0.500
K 0.003 0.246 0.500
K 0.544 0.252 0.746
K 0.544 0.252 0.254
H 0.834 0.016 0.000
K 0.044 0.748 0.246
K 0.044 0.748 0.754
H 0.118 0.252 0.807
H 0.118 0.252 0.193
H 0.826 0.477 0.000
Au 0.529 0.750 0.500
H 0.326 0.523 0.500
```

=====

Relative calculated energies, zero for the most stable structure, unit kJ/mol of atoms: (1) 0.0; (2) 3.1.

=====

(1)
Computed, not measured: K3HAu after structural relaxation at the GGA-PBE level of DFT. Values from VASP.

Cell and atoms, written as Quantum ESPRESSO input:
```
&SYSTEM
  ibrav = 0, nat = 20, ntyp = 3
/
ATOMIC_SPECIES
H 1.01 H.upf
K 39.10 K.upf
Au 196.97 Au.upf
CELL_PARAMETERS angstrom
-5.166 -4.236 2.829
6.284 -6.305 2.036
1.786 5.486 11.477
ATOMIC_POSITIONS crystal
H 0.593 0.283 0.250
K 0.840 0.495 0.250
H 0.907 0.783 0.250
K 0.660 0.995 0.250
K 0.380 0.322 0.412
K 0.340 0.005 0.750
K 0.120 0.822 0.088
K 0.380 0.322 0.088
Au 0.500 0.000 0.000
Au 0.000 0.500 0.000
K 0.120 0.822 0.412
H 0.407 0.717 0.750
K 0.880 0.178 0.912
K 0.620 0.678 0.588
H 0.093 0.217 0.750
Au 0.000 0.500 0.500
Au 0.500 0.000 0.500
K 0.160 0.505 0.750
K 0.620 0.678 0.912
K 0.880 0.178 0.588
```

=====

(2)
Computed, not measured: K3HAu after structural relaxation at the GGA-PBE level of DFT. Values from VASP.

Cell and atoms, written as Quantum ESPRESSO input:
```
&SYSTEM
  ibrav = 0, nat = 5, ntyp = 3
/
ATOMIC_SPECIES
K 39.10 K.upf
H 1.01 H.upf
Au 196.97 Au.upf
CELL_PARAMETERS angstrom
5.361 0.000 0.000
0.000 5.361 0.000
0.000 0.000 5.361
ATOMIC_POSITIONS crystal
K 0.500 0.000 0.000
K 0.000 0.500 0.000
H 0.000 0.000 0.000
Au 0.500 0.500 0.500
K 0.000 0.000 0.500
```

=====

Relative calculated energies, zero for the most stable structure, unit kJ/mol of atoms: (1) 2.2; (2) 0.0.

=====

(1)
Computed, not measured: K2H3Au after structural relaxation at the GGA-PBE level of DFT. Values from VASP.

Cell and atoms, written as Quantum ESPRESSO input:
```
&SYSTEM
  ibrav = 0, nat = 12, ntyp = 3
/
ATOMIC_SPECIES
K 39.10 K.upf
H 1.01 H.upf
Au 196.97 Au.upf
CELL_PARAMETERS angstrom
6.820 -1.198 0.000
-1.462 6.768 0.000
-2.679 -2.785 6.192
ATOMIC_POSITIONS crystal
K 0.250 0.750 0.500
H 0.520 0.760 0.280
Au 0.731 0.731 0.463
K 0.267 0.267 0.000
H 0.760 0.520 0.280
H 0.867 0.867 0.735
K 0.750 0.250 0.500
K 0.733 0.733 0.000
H 0.480 0.240 0.720
Au 0.269 0.269 0.537
H 0.240 0.480 0.720
H 0.133 0.133 0.265
```

=====

(2)
Computed, not measured: K2H3Au after structural relaxation at the GGA-PBE level of DFT. Values from VASP.

Cell and atoms, written as Quantum ESPRESSO input:
```
&SYSTEM
  ibrav = 0, nat = 12, ntyp = 3
/
ATOMIC_SPECIES
H 1.01 H.upf
K 39.10 K.upf
Au 196.97 Au.upf
CELL_PARAMETERS angstrom
5.819 0.000 -2.676
-3.239 5.519 -0.262
-0.234 -0.026 7.529
ATOMIC_POSITIONS crystal
H 0.739 0.342 0.067
H 0.900 0.150 0.750
K 0.190 0.326 0.187
K 0.810 0.674 0.813
H 0.226 0.328 0.567
K 0.361 0.997 0.687
Au 0.817 0.567 0.250
K 0.639 0.003 0.313
H 0.261 0.658 0.933
H 0.774 0.672 0.433
H 0.100 0.850 0.250
Au 0.183 0.433 0.750
```

=====

Relative calculated energies, zero for the most stable structure, unit kJ/mol of atoms: (1) 0.9; (2) 0.0.

=====

(1)
Computed, not measured: KHAu after structural relaxation at the GGA-PBE level of DFT. Values from VASP.

Cell and atoms, written as Quantum ESPRESSO input:
```
&SYSTEM
  ibrav = 0, nat = 3, ntyp = 3
/
ATOMIC_SPECIES
K 39.10 K.upf
Au 196.97 Au.upf
H 1.01 H.upf
CELL_PARAMETERS angstrom
4.881 0.000 0.000
0.000 3.759 0.000
0.000 -1.880 3.255
ATOMIC_POSITIONS crystal
K 0.666 0.667 0.333
Au 0.167 0.333 0.667
H 0.167 0.000 0.000
```

=====

(2)
Computed, not measured: KHAu after structural relaxation at the GGA-PBE level of DFT. Values from VASP.

Cell and atoms, written as Quantum ESPRESSO input:
```
&SYSTEM
  ibrav = 0, nat = 6, ntyp = 3
/
ATOMIC_SPECIES
H 1.01 H.upf
K 39.10 K.upf
Au 196.97 Au.upf
CELL_PARAMETERS angstrom
-0.648 -0.022 -3.780
-3.664 -4.582 0.654
-4.535 3.772 0.755
ATOMIC_POSITIONS crystal
H 0.812 0.606 0.759
K 0.312 0.261 0.689
H 0.812 0.326 0.034
Au 0.812 0.808 0.555
K 0.312 0.672 0.104
Au 0.811 0.124 0.238
```

=====

Relative calculated energies, zero for the most stable structure, unit kJ/mol of atoms: (1) 33.0; (2) 0.0.

=====

(1)
Computed, not measured: K3H3Au after structural relaxation at the GGA-PBE level of DFT. Values from VASP.

Cell and atoms, written as Quantum ESPRESSO input:
```
&SYSTEM
  ibrav = 0, nat = 14, ntyp = 3
/
ATOMIC_SPECIES
Au 196.97 Au.upf
K 39.10 K.upf
H 1.01 H.upf
CELL_PARAMETERS angstrom
-3.208 -4.714 -0.148
6.223 -4.223 -0.386
-0.990 0.439 7.476
ATOMIC_POSITIONS crystal
Au 0.250 0.304 0.695
K 0.250 0.812 0.589
K 0.250 0.882 0.122
K 0.750 0.188 0.411
H 0.250 0.513 0.832
H 0.750 0.487 0.168
K 0.250 0.412 0.184
H 0.750 0.861 0.140
K 0.750 0.588 0.816
Au 0.750 0.696 0.305
H 0.250 0.166 0.486
K 0.750 0.118 0.878
H 0.250 0.139 0.860
H 0.750 0.834 0.514
```

=====

(2)
Computed, not measured: K3H3Au after structural relaxation at the GGA-PBE level of DFT. Values from VASP.

Cell and atoms, written as Quantum ESPRESSO input:
```
&SYSTEM
  ibrav = 0, nat = 14, ntyp = 3
/
ATOMIC_SPECIES
K 39.10 K.upf
H 1.01 H.upf
Au 196.97 Au.upf
CELL_PARAMETERS angstrom
5.423 0.000 0.000
0.000 8.718 0.000
0.000 -4.359 7.550
ATOMIC_POSITIONS crystal
K 0.250 0.293 0.375
H 0.750 0.546 0.852
H 0.250 0.852 0.306
H 0.250 0.694 0.546
H 0.750 0.306 0.454
Au 0.250 0.667 0.333
Au 0.750 0.333 0.667
H 0.250 0.454 0.148
K 0.250 0.625 0.918
K 0.750 0.918 0.293
K 0.750 0.707 0.625
K 0.750 0.375 0.082
H 0.750 0.148 0.694
K 0.250 0.082 0.707
```

=====

Relative calculated energies, zero for the most stable structure, unit kJ/mol of atoms: (1) 3.8; (2) 0.0.

=====

(1)
Computed, not measured: K2RbHAu after structural relaxation at the GGA-PBE level of DFT. Values from VASP.

Cell and atoms, written as Quantum ESPRESSO input:
```
&SYSTEM
  ibrav = 0, nat = 5, ntyp = 4
/
ATOMIC_SPECIES
K 39.10 K.upf
Rb 85.47 Rb.upf
H 1.01 H.upf
Au 196.97 Au.upf
CELL_PARAMETERS angstrom
-1.675 0.911 4.978
-4.909 -1.568 -1.365
1.334 -5.430 1.442
ATOMIC_POSITIONS crystal
K 0.500 0.000 0.000
Rb 0.000 0.000 0.500
K 0.000 0.500 0.000
H 0.000 0.000 0.000
Au 0.500 0.500 0.500
```

=====

(2)
Computed, not measured: K2RbHAu after structural relaxation at the GGA-PBE level of DFT. Values from VASP.

Cell and atoms, written as Quantum ESPRESSO input:
```
&SYSTEM
  ibrav = 0, nat = 10, ntyp = 4
/
ATOMIC_SPECIES
Au 196.97 Au.upf
K 39.10 K.upf
H 1.01 H.upf
Rb 85.47 Rb.upf
CELL_PARAMETERS angstrom
4.454 0.000 0.000
-2.227 9.457 0.000
0.000 0.000 8.887
ATOMIC_POSITIONS crystal
Au 0.698 0.395 0.750
K 0.156 0.312 0.488
K 0.844 0.688 0.988
H 0.000 0.000 0.000
H 0.000 0.000 0.500
K 0.844 0.688 0.512
K 0.156 0.312 0.012
Rb 0.489 0.977 0.250
Rb 0.511 0.023 0.750
Au 0.302 0.605 0.250
```

=====

Relative calculated energies, zero for the most stable structure, unit kJ/mol of atoms: (1) 0.5; (2) 0.0.

=====

(1)
Computed, not measured: KRb2HAu after structural relaxation at the GGA-PBE level of DFT. Values from VASP.

Cell and atoms, written as Quantum ESPRESSO input:
```
&SYSTEM
  ibrav = 0, nat = 10, ntyp = 4
/
ATOMIC_SPECIES
H 1.01 H.upf
K 39.10 K.upf
Au 196.97 Au.upf
Rb 85.47 Rb.upf
CELL_PARAMETERS angstrom
-0.299 4.045 1.989
-9.563 -2.230 -2.031
-0.778 -4.039 8.097
ATOMIC_POSITIONS crystal
H 0.000 0.000 0.500
K 0.485 0.970 0.250
Au 0.690 0.380 0.750
K 0.515 0.030 0.750
Au 0.310 0.620 0.250
Rb 0.846 0.692 0.980
H 0.000 0.000 0.000
Rb 0.846 0.692 0.520
Rb 0.154 0.308 0.480
Rb 0.154 0.308 0.020
```

=====

(2)
Computed, not measured: KRb2HAu after structural relaxation at the GGA-PBE level of DFT. Values from VASP.

Cell and atoms, written as Quantum ESPRESSO input:
```
&SYSTEM
  ibrav = 0, nat = 5, ntyp = 4
/
ATOMIC_SPECIES
Rb 85.47 Rb.upf
K 39.10 K.upf
Au 196.97 Au.upf
H 1.01 H.upf
CELL_PARAMETERS angstrom
5.714 0.000 0.000
0.000 5.714 0.000
0.000 0.000 5.309
ATOMIC_POSITIONS crystal
Rb 0.000 0.500 0.000
K 0.000 0.000 0.500
Rb 0.500 0.000 0.000
Au 0.500 0.500 0.500
H 0.000 0.000 0.000
```

=====

Relative calculated energies, zero for the most stable structure, unit kJ/mol of atoms: (1) 1.0; (2) 0.0.